Record 1
Er3BiIr: relaxed, PBE.

As for the formation energy from the elements: -613 meV/atom. The total moment is 0.0 μB per formula unit. The value obtained for the uncorrected energy is -29.50 eV per formula unit.

It has space group C2/c (No. 15), with a = 12.870 Å, b = 7.335 Å, c = 12.824 Å, α = 90.00°, β = 105.98° and γ = 90.00°. The asymmetric unit holds Er at (0.073, 0.214, 0.072), Er at (0.151, 0.045, 0.826), Er at (0.155, 0.455, 0.373), Bi at (0.121, 0.322, 0.628), Ir at (0.000, 0.220, 0.250) and Ir at (0.250, 0.250, 0.000).

---

Record 2
Pr2Y3Bi2Sb2: relaxed, PBE.

As for the formation energy from raw total energies: -0.69 eV per atom. The total moment is 0.0 μB per formula unit. The value obtained for the uncorrected energy is -51.14 eV per formula unit.

It has space group I4/mmm (No. 139), with a = 6.098 Å, b = 6.098 Å, c = 15.507 Å, α = 90.00°, β = 90.00° and γ = 90.00°. The asymmetric unit holds Pr at (0.000, 0.000, 0.092), Y at (0.000, 0.000, 0.500), Y at (0.000, 0.500, 0.250), Bi at (0.000, 0.000, 0.298) and Sb at (0.000, 0.500, 0.000).

---

Record 3
Ho6Cd2Cu: relaxed, PBE.

As for the formation energy from the elements: -65 meV/atom. The total moment is 0.0 μB per formula unit. The value obtained for the uncorrected energy is -33.98 eV per formula unit.

It has space group P2_1/c (No. 14), with a = 6.238 Å, b = 9.174 Å, c = 9.891 Å, α = 90.00°, β = 118.87° and γ = 90.00°. The asymmetric unit holds Ho at (0.073, 0.175, 0.469), Ho at (0.346, 0.686, 0.446), Ho at (0.408, 0.033, 0.291), Cd at (0.138, 0.099, 0.774) and Cu at (0.000, 0.000, 0.000).